[1]
# Cs5K8Rb | Alexandria | PBE-GGA | optimized geometry
# * E_form: 0.055 eV per atom
data_Cs5K8Rb
_cell_length_a 13.8606
_cell_length_b 13.8606
_cell_length_c 13.3394
_cell_angle_alpha 90.00
_cell_angle_beta 90.00
_cell_angle_gamma 90.00
_symmetry_space_group_name_H-M 'I -4'
_symmetry_Int_Tables_number 82
loop_
_symmetry_equiv_pos_as_xyz
'x,y,z'
'y,-x,-z'
'-x,-y,z'
'-y,x,-z'
'x+1/2,y+1/2,z+1/2'
'y+1/2,-x+1/2,-z+1/2'
'-x+1/2,-y+1/2,z+1/2'
'-y+1/2,x+1/2,-z+1/2'
loop_
_atom_site_label
_atom_site_type_symbol
_atom_site_fract_x
_atom_site_fract_y
_atom_site_fract_z
Cs1 Cs 0.0000 0.0000 0.0000
Cs2 Cs 0.1088 0.1965 0.3953
K1 K 0.0551 0.3450 0.0782
K2 K 0.1174 0.2029 0.7457
Rb1 Rb 0.0000 0.5000 0.7500

=====

[2]
# SiBr3 | Alexandria | PBE-GGA | optimized geometry
# * formation energy without anion corrections: 434 meV per atom
# * excess energy over the best structure of this formula in the dataset: 1189 meV/atom
data_SiBr3
_cell_length_a 6.1127
_cell_length_b 6.1127
_cell_length_c 6.1127
_cell_angle_alpha 90.00
_cell_angle_beta 90.00
_cell_angle_gamma 90.00
_symmetry_space_group_name_H-M 'I m -3 m'
_symmetry_Int_Tables_number 229
_symmetry_space_group_name_Hall '-I 4 2 3'
loop_
_atom_site_label
_atom_site_type_symbol
_atom_site_fract_x
_atom_site_fract_y
_atom_site_fract_z
Si1 Si 0.0000 0.0000 0.0000
Br1 Br 0.0000 0.0000 0.5000

=====

[3]
# PrSi3Ir3 | Alexandria | PBE-GGA | optimized geometry
# * formation energy without anion corrections: -605 meV per atom
# * excess energy over the best structure of this formula in the dataset: 0 meV/atom
data_PrSi3Ir3
_cell_length_a 8.6504
_cell_length_b 4.1616
_cell_length_c 8.6564
_cell_angle_alpha 90.00
_cell_angle_beta 119.97
_cell_angle_gamma 90.00
_symmetry_space_group_name_H-M 'P 1 21/m 1'
_symmetry_Int_Tables_number 11
loop_
_symmetry_equiv_pos_as_xyz
'x,y,z'
'-x,-y,-z'
'-x,y+1/2,-z'
'x,-y+1/2,z'
loop_
_atom_site_label
_atom_site_type_symbol
_atom_site_fract_x
_atom_site_fract_y
_atom_site_fract_z
Pr1 Pr 0.1666 0.2500 0.3330
Si1 Si 0.0746 0.2500 0.9443
Si2 Si 0.1297 0.7500 0.5740
Si3 Si 0.4445 0.7500 0.3700
Ir1 Ir 0.1449 0.2500 0.7139
Ir2 Ir 0.2142 0.7500 0.0696
Ir3 Ir 0.4304 0.7500 0.6445

=====

[4]
# NaCa2Ga2 | Alexandria | PBE-GGA | optimized geometry
# * E_form: -0.190 eV per atom
# * excess energy over the best structure of this formula in the dataset: 117 meV/atom
data_NaCa2Ga2
_cell_length_a 8.7377
_cell_length_b 8.7377
_cell_length_c 3.5718
_cell_angle_alpha 90.00
_cell_angle_beta 90.00
_cell_angle_gamma 90.00
_symmetry_space_group_name_H-M 'P 4/m b m'
_symmetry_Int_Tables_number 127
_symmetry_space_group_name_Hall '-P 4 2ab'
loop_
_atom_site_label
_atom_site_type_symbol
_atom_site_fract_x
_atom_site_fract_y
_atom_site_fract_z
Na1 Na 0.0000 0.0000 0.0000
Ca1 Ca 0.1678 0.3322 0.0000
Ga1 Ga 0.1240 0.6240 0.5000

=====

[5]
# LiTlRe | Alexandria | PBE-GGA | optimized geometry
# * E_form: 0.723 eV per atom
# * excess energy over the best structure of this formula in the dataset: 110 meV/atom
data_LiTlRe
_cell_length_a 4.5942
_cell_length_b 4.5942
_cell_length_c 2.7771
_cell_angle_alpha 90.00
_cell_angle_beta 90.00
_cell_angle_gamma 120.00
_symmetry_space_group_name_H-M 'P -6 m 2'
_symmetry_Int_Tables_number 187
_symmetry_space_group_name_Hall 'P -6 2'
loop_
_atom_site_label
_atom_site_type_symbol
_atom_site_fract_x
_atom_site_fract_y
_atom_site_fract_z
Li1 Li 0.0000 0.0000 0.0000
Tl1 Tl 0.3333 0.6667 0.0000
Re1 Re 0.6667 0.3333 0.5000

=====

[6]
# TaInAuC2 | Alexandria | PBE-GGA | optimized geometry
# * E_form: 2.501 eV per atom
data_TaInAuC2
_cell_length_a 4.0580
_cell_length_b 4.0580
_cell_length_c 5.5413
_cell_angle_alpha 90.00
_cell_angle_beta 90.00
_cell_angle_gamma 90.00
_symmetry_space_group_name_H-M 'P 4/m m m'
_symmetry_Int_Tables_number 123
_symmetry_space_group_name_Hall '-P 4 2'
loop_
_atom_site_label
_atom_site_type_symbol
_atom_site_fract_x
_atom_site_fract_y
_atom_site_fract_z
Ta1 Ta 0.0000 0.0000 0.0000
In1 In 0.5000 0.5000 0.0000
Au1 Au 0.5000 0.5000 0.5000
C1 C 0.0000 0.5000 0.5000

=====

[7]
# Hf4BAs2 | Alexandria | PBE-GGA | optimized geometry
# * E_form: -0.618 eV per atom
data_Hf4BAs2
_cell_length_a 11.2115
_cell_length_b 11.2148
_cell_length_c 8.4476
_cell_angle_alpha 90.00
_cell_angle_beta 90.00
_cell_angle_gamma 90.00
_symmetry_space_group_name_H-M 'F d d 2'
_symmetry_Int_Tables_number 43
_symmetry_space_group_name_Hall 'F 2 -2d'
loop_
_atom_site_label
_atom_site_type_symbol
_atom_site_fract_x
_atom_site_fract_y
_atom_site_fract_z
Hf1 Hf 0.1034 0.3973 0.0000
Hf2 Hf 0.1197 0.1204 0.1228
B1 B 0.0000 0.0000 0.7391
As1 As 0.1178 0.3829 0.6835

=====

[8]
# LuPd4Pb | Alexandria | PBE-GGA | optimized geometry
# * E_form: -0.527 eV per atom
data_LuPd4Pb
_cell_length_a 7.6466
_cell_length_b 7.6466
_cell_length_c 7.6466
_cell_angle_alpha 90.00
_cell_angle_beta 90.00
_cell_angle_gamma 90.00
_symmetry_space_group_name_H-M 'F -4 3 m'
_symmetry_Int_Tables_number 216
_symmetry_space_group_name_Hall 'F -4 2 3'
loop_
_atom_site_label
_atom_site_type_symbol
_atom_site_fract_x
_atom_site_fract_y
_atom_site_fract_z
Lu1 Lu 0.0000 0.0000 0.0000
Pd1 Pd 0.1252 0.1252 0.3748
Pb1 Pb 0.2500 0.2500 0.7500